# ZnSi2Sn2, relaxed, DFT GGA-PBE
# Uncorrected formation energy: 0.261 eV/atom
# Calculated density: 5.66 g cm⁻³
# Relative energy among the computed polymorphs: 25 meV/atom
data_ZnSi2Sn2
_cell_length_a 3.492
_cell_length_b 3.492
_cell_length_c 17.268
_cell_angle_alpha 90.00
_cell_angle_beta 90.00
_cell_angle_gamma 90.00
_symmetry_space_group_name_H-M 'I 4/m m m'
_symmetry_Int_Tables_number 139
_symmetry_space_group_name_Hall '-I 4 2'
loop_
_atom_site_label
_atom_site_fract_x
_atom_site_fract_y
_atom_site_fract_z
Zn1 0.000 0.000 0.000
Si1 0.000 0.500 0.250
Sn1 0.000 0.000 0.398